No. 1
VASP calculation (GGA-PBE) on crystalline KGeB at its relaxed geometry.

Summary:
The calculated formation energy is 0.312 eV/f.u. The calculated density comes out at 3.3 g/cm³. Its total energy is -4.0269 eV per atom. As for the crystal system: orthorhombic. The space group is No. 47.

Unit cell a=5.399 b=3.620 c=6.329 alpha=90.00 beta=90.00 gamma=90.00
Fractional positions:
Ge: 0.000 0.500 0.197
Ge: 0.000 0.500 0.803
B: 0.000 0.000 0.634
B: 0.000 0.000 0.366
K: 0.500 0.000 0.000
K: 0.500 0.500 0.500

No. 2
VASP calculation (GGA-PBE) on crystalline KGeB at its relaxed geometry.

Summary:
The calculated formation energy is 0.801 eV/f.u. The calculated density comes out at 2.6 g/cm³. Its total energy is -3.8637 eV per atom. As for the crystal system: triclinic. The space group is No. 1.

Unit cell a=5.426 b=6.269 c=5.131 alpha=85.41 beta=108.82 gamma=72.55
Fractional positions:
Ge: 0.689 0.784 0.620
Ge: 0.313 0.928 0.859
K: 0.741 0.255 0.999
K: 0.133 0.617 0.308
B: 0.315 0.079 0.499
B: 0.406 0.020 0.245

No. 3
VASP calculation (GGA-PBE) on crystalline KGeB at its relaxed geometry.

Summary:
The calculated formation energy is 0.986 eV/f.u. The calculated density comes out at 2.9 g/cm³. Its total energy is -3.8021 eV per atom. As for the crystal system: triclinic. The space group is No. 1.

Unit cell a=6.751 b=3.913 c=5.706 alpha=100.28 beta=96.11 gamma=73.56
Fractional positions:
B: 0.391 0.045 0.902
B: 0.505 0.726 0.707
K: 0.678 0.484 0.173
K: 0.015 0.765 0.707
Ge: 0.468 0.211 0.574
Ge: 0.222 0.263 0.187

No. 4
VASP calculation (GGA-PBE) on crystalline KGeB3 at its relaxed geometry.

Summary:
The calculated formation energy is 16.407 eV/f.u. The calculated density comes out at 2.2 g/cm³. Its total energy is -1.8681 eV per atom. As for the crystal system: cubic. The value obtained for the polymorph energy (0 for the lowest one) is 738 kJ/mol of formula units. The space group is No. 221.

Unit cell a=4.809 b=4.809 c=4.809 alpha=90.00 beta=90.00 gamma=90.00
Site moments in Bohr magnetons follow the coordinates.
Fractional positions:
Ge: 0.500 0.500 0.500  0.00
K: 0.000 0.000 0.000  0.02
B: 0.000 0.500 0.000  0.02
B: 0.500 0.000 0.000  0.06
B: 0.000 0.000 0.500  0.01

No. 5
VASP calculation (GGA-PBE) on crystalline KGeB at its relaxed geometry.

Summary:
The calculated formation energy is 1.296 eV/f.u. The calculated density comes out at 2.6 g/cm³. Its total energy is -3.6989 eV per atom. As for the crystal system: orthorhombic. The space group is No. 51.

Unit cell a=4.347 b=5.110 c=7.111 alpha=90.00 beta=90.00 gamma=90.00
Fractional positions:
Ge: 0.750 0.500 0.738
Ge: 0.250 0.500 0.262
K: 0.250 0.000 0.752
K: 0.750 0.000 0.248
B: 0.000 0.500 0.500
B: 0.500 0.500 0.500

No. 6
VASP calculation (GGA-PBE) on crystalline KGeB at its relaxed geometry.

Summary:
The calculated formation energy is 0.746 eV/f.u. The calculated density comes out at 2.5 g/cm³. Its total energy is -3.8822 eV per atom. As for the crystal system: triclinic. The space group is No. 1.

Unit cell a=9.875 b=3.501 c=5.097 alpha=110.14 beta=93.42 gamma=89.28
Fractional positions:
Ge: 0.321 0.632 0.323
Ge: 0.490 0.851 0.775
B: 0.370 0.425 0.912
B: 0.323 0.258 0.577
K: 0.110 0.916 0.877
K: 0.667 0.132 0.347

- The lowest calculated formation energy belongs to which entry?
  number 1

What did the first record say?
VASP calculation (GGA-PBE) on crystalline KGeB at its relaxed geometry.

Summary:
The calculated formation energy is 0.312 eV/f.u. The calculated density comes out at 3.3 g/cm³. Its total energy is -4.0269 eV per atom. As for the crystal system: orthorhombic. The space group is No. 47.

Unit cell a=5.399 b=3.620 c=6.329 alpha=90.00 beta=90.00 gamma=90.00
Fractional positions:
Ge: 0.000 0.500 0.197
Ge: 0.000 0.500 0.803
B: 0.000 0.000 0.634
B: 0.000 0.000 0.366
K: 0.500 0.000 0.000
K: 0.500 0.500 0.500